An optimized crystal structure of TaMnNO2. Source: the Alexandria database, functional PBE with a Hubbard U.

```
5
Lattice="3.9342 0.0000 0.0000 0.0000 3.9342 0.0000 0.0000 0.0000 4.1441" Properties=species:S:1:pos:R:3 pbc="T T T"
O 1.9671 0.0000 0.0000
O 0.0000 1.9671 0.0000
N 0.0000 0.0000 2.0721
Mn 1.9671 1.9671 2.0721
Ta 0.0000 0.0000 0.0000
```

Calculated values
ρ	7.3	g/cm³
magnetic moment	1.001	μB/atom
N(E_F)	0.048	states/eV per atom
symmetry	P4/mmm
energy	-8.96	eV/atom